{
  "formula": "Li2GaH4",
  "functional": "PBE",
  "state": "optimized geometry",
  "e_tot_ev_per_atom": -2.9229,
  "magnetic_moment_mub_per_cell": 0.00,
  "spacegroup": "C2/c",
  "cell": [[5.302, 0.011, -1.302], [-2.786, 4.511, -1.302], [-0.179, -0.321, 5.712]],
  "species": ["H", "H", "H", "H", "H", "H", "H", "H", "Ga", "Ga", "Li", "Li", "Li", "Li"],
  "fractional_positions": [[0.754, 0.749, 0.112], [0.137, 0.640, 0.886], [0.749, 0.754, 0.612], [0.251, 0.246, 0.388], [0.360, 0.863, 0.614], [0.640, 0.137, 0.386], [0.863, 0.360, 0.114], [0.246, 0.251, 0.888], [0.123, 0.877, 0.750], [0.877, 0.123, 0.250], [0.817, 0.183, 0.750], [0.432, 0.568, 0.750], [0.183, 0.817, 0.250], [0.568, 0.432, 0.250]]
}

***

{
  "formula": "LiGaH3",
  "functional": "PBE",
  "state": "optimized geometry",
  "e_tot_ev_per_atom": -2.8942,
  "magnetic_moment_mub_per_cell": 0.00,
  "spacegroup": "Pm-3m",
  "cell": [[-2.544, 2.739, 0.108], [-1.738, -1.726, 2.826], [2.119, 1.872, 2.447]],
  "species": ["H", "H", "H", "Ga", "Li"],
  "fractional_positions": [[0.500, 0.000, 0.000], [0.000, 0.500, 0.000], [0.000, 0.000, 0.500], [0.000, 0.000, 0.000], [0.500, 0.500, 0.500]]
}

***

{
  "formula": "LiGaH",
  "functional": "PBE",
  "state": "optimized geometry",
  "e_tot_ev_per_atom": -2.9217,
  "magnetic_moment_mub_per_cell": 0.00,
  "spacegroup": "Cmm2",
  "cell": [[-0.165, -2.228, -1.691], [4.218, 0.798, -1.463], [1.028, -1.398, 2.201]],
  "species": ["Ga", "Li", "H"],
  "fractional_positions": [[0.000, 0.845, 0.500], [0.500, 0.380, 0.000], [0.000, 0.242, 0.500]]
}

***

{
  "formula": "LiGaH",
  "functional": "PBE",
  "state": "optimized geometry",
  "e_tot_ev_per_atom": -2.9570,
  "magnetic_moment_mub_per_cell": 0.00,
  "spacegroup": "Pmn2_1",
  "cell": [[-0.181, 0.977, 3.584], [-4.629, -0.606, -0.068], [0.507, -3.994, 1.115]],
  "species": ["Li", "Li", "Ga", "Ga", "H", "H"],
  "fractional_positions": [[0.500, 0.048, 0.919], [0.000, 0.952, 0.419], [0.000, 0.511, 0.917], [0.500, 0.489, 0.417], [0.000, 0.889, 0.918], [0.500, 0.111, 0.418]]
}

***

Q: What is the formula in the fourth record?
A: LiGaH

***

Q: Number 4 is which compound?
A: LiGaH